[1]
First-principles (PBE) data for Pr4Te2CBr after structural relaxation, as listed in Alexandria via LeMat-Bulk.

a = 4.1690 Å, b = 7.5710 Å, c = 7.5918 Å
α = 72.13°, β = 90.00°, γ = 90.00°
Closest atoms and distances in Å follow each position.
Sites, in units of the cell vectors:
Te  0.0000  0.0000  0.0000  6 Pr 3.39-3.51
C  0.0000  0.5000  0.5000  6 Pr 2.62-2.74
Pr  0.0000  0.7116  0.7162  1 C 2.62
Pr  0.5000  0.3010  0.7009  2 C 2.74
Te  0.5000  0.0000  0.5000  6 Pr 3.10-3.11
Pr  0.0000  0.2884  0.2838  1 C 2.62
Br  0.5000  0.5000  0.0000  6 Pr 3.07-3.09
Pr  0.5000  0.6990  0.2991  2 C 2.74

Computed properties:
energy relative to the elements, uncorrected: -1.055 eV/atom
total magnetic moment: 0.000 μB/atom

***

[2]
First-principles (PBE) data for Tb2PmTh4 after structural relaxation, as listed in Alexandria via LeMat-Bulk.

a = 3.5792 Å, b = 3.5668 Å, c = 18.1962 Å
α = 90.00°, β = 95.64°, γ = 90.00°
Closest atoms and distances in Å follow each position.
Sites, in units of the cell vectors:
Pm  0.5000  0.0000  0.0000  4 Pm 3.57-3.58, 8 Th 3.65
Th  0.3597  0.0000  0.7193  4 Tb 3.51, 8 Th 3.52-3.58
Th  0.0729  0.5000  0.1457  8 Th 3.52-3.58, 4 Pm 3.65
Th  0.6403  0.0000  0.2807  4 Tb 3.51, 8 Th 3.52-3.58
Th  0.9271  0.5000  0.8543  8 Th 3.52-3.58, 4 Pm 3.65
Tb  0.7924  0.5000  0.5847  4 Th 3.51, 6 Tb 3.55-3.58
Tb  0.2076  0.5000  0.4153  4 Th 3.51, 6 Tb 3.55-3.58

Computed properties:
ΔH_f (0 K): 0.085 eV/atom
total magnetic moment: 0.000 μB/atom

***

[3]
First-principles (PBE) data for LiNiMoN3 after structural relaxation, as listed in Alexandria via LeMat-Bulk.

a = 3.0666 Å, b = 6.2175 Å, c = 7.2630 Å
α = 98.71°, β = 90.00°, γ = 90.00°
Closest atoms and distances in Å follow each position.
Sites, in units of the cell vectors:
N  0.7500  0.4372  0.1440  1 Mo 1.90
Ni  0.2500  0.1116  0.5953  3 N 1.84-1.97
N  0.2500  0.5628  0.8560  1 Mo 1.90
Ni  0.7500  0.8884  0.4047  3 N 1.84-1.97
N  0.2500  0.1180  0.8672  2 Mo 1.93, 1 Ni 1.97
Mo  0.7500  0.3075  0.8891  3 N 1.90-1.93
Li  0.7500  0.6295  0.6512  5 N 2.22-2.34
N  0.7500  0.2642  0.5615  2 Ni 1.84
N  0.2500  0.7358  0.4385  2 Ni 1.84
Mo  0.2500  0.6925  0.1109  3 N 1.90-1.93
Li  0.2500  0.3705  0.3488  5 N 2.22-2.34
N  0.7500  0.8820  0.1328  2 Mo 1.93, 1 Ni 1.97

Computed properties:
energy relative to the elements, uncorrected: 0.025 eV/atom
total magnetic moment: 0.000 μB/atom